Version 1
La2TlRe | PBE | relaxed

calculated volume = 24.74 Å³ per atom

Cell lengths 3.7168, 3.7168, 7.1642 Å; angles 90.00, 90.00, 90.00 degrees
With the nearest neighbours (Å) after each atom.
Space group P4mm (No. 99)
Symmetry-distinct sites (fractional):
La 0.0000 0.0000 0.0000  4 Tl 3.29, 4 La 3.34, 1 Re 3.45
La 0.5000 0.5000 0.2872  4 Re 3.11, 1 Tl 3.13, 4 La 3.34
Tl 0.5000 0.5000 0.7235  4 Re 3.01, 5 La 3.13-3.29
Re 0.0000 0.0000 0.5191  4 Tl 3.01, 4 La 3.11

---

Version 2
La2TlRe | PBE | relaxed

calculated volume = 25.09 Å³ per atom

Cell lengths 4.6785, 4.6785, 9.1707 Å; angles 90.00, 90.00, 90.00 degrees
With the nearest neighbours (Å) after each atom.
Space group I-4m2 (No. 119)
Symmetry-distinct sites (fractional):
La 0.0000 0.0000 0.0000  4 Re 3.28, 4 La 3.28, 4 Tl 3.31
La 0.0000 0.5000 0.2500  4 Tl 3.28, 4 La 3.28, 4 Re 3.31
Tl 0.0000 0.0000 0.5000  8 La 3.28-3.31, 4 Re 3.28
Re 0.0000 0.5000 0.7500  4 Tl 3.28, 8 La 3.28-3.31

---

Version 3
La2TlRe | PBE | relaxed

calculated volume = 30.07 Å³ per atom

Cell lengths 7.7947, 3.5333, 8.8241 Å; angles 90.00, 98.15, 90.00 degrees
With the nearest neighbours (Å) after each atom.
Space group C2/m (No. 12)
Symmetry-distinct sites (fractional):
La 0.2418 0.0000 0.1943  3 Re 2.82-2.95
Tl 0.0000 0.0000 0.5000  6 La 3.50-3.59, 2 Tl 3.53
Re 0.0000 0.5000 0.0000  6 La 2.82-2.95

---

Last place for stability: version 1

---

Version 1
La2TlRe | PBE | relaxed

calculated volume = 24.38 Å³ per atom

Cell lengths 7.3064, 7.3064, 7.3064 Å; angles 90.00, 90.00, 90.00 degrees
With the nearest neighbours (Å) after each atom.
Space group F-43m (No. 216)
Symmetry-distinct sites (fractional):
La 0.0000 0.0000 0.0000  4 La 3.16, 4 Re 3.16
La 0.2500 0.2500 0.2500  4 Tl 3.16, 4 La 3.16
Tl 0.0000 0.0000 0.5000  4 La 3.16, 4 Re 3.16
Re 0.2500 0.2500 0.7500  4 Tl 3.16, 4 La 3.16

---

Version 2
La2TlRe | PBE | relaxed

calculated volume = 26.63 Å³ per atom

Cell lengths 3.8414, 5.0423, 5.4986 Å; angles 90.00, 90.35, 90.00 degrees
With the nearest neighbours (Å) after each atom.
Space group Pm (No. 6)
Symmetry-distinct sites (fractional):
La 0.0000 0.0000 0.0000  4 Tl 3.20-3.53, 4 Re 3.24, 2 La 3.51
La 0.0076 0.5000 0.5553  2 Re 3.04-3.05, 4 Tl 3.20-3.21
Tl 0.5051 0.0000 0.4655  2 Re 3.14, 7 La 3.20-3.49
Re 0.5019 0.5000 0.1251  6 La 3.04-3.24, 2 Tl 3.14

---

Last place for stability: version 1

---

Version 1
LaTl3Re | PBE | relaxed

calculated volume = 29.50 Å³ per atom

Cell lengths 5.2834, 5.2834, 5.2834 Å; angles 90.00, 90.00, 90.00 degrees
With the nearest neighbours (Å) after each atom.
Space group Pm-3m (No. 221)
Symmetry-distinct sites (fractional):
La 0.0000 0.0000 0.0000  12 Tl 3.74
Tl 0.0000 0.5000 0.5000  2 Re 2.64
Re 0.5000 0.5000 0.5000  6 Tl 2.64

---

Version 2
LaTl3Re | PBE | relaxed

calculated volume = 41.59 Å³ per atom

Cell lengths 5.9246, 5.9246, 5.9246 Å; angles 90.00, 90.00, 90.00 degrees
With the nearest neighbours (Å) after each atom.
Space group Pm-3m (No. 221)
Symmetry-distinct sites (fractional):
La 0.0000 0.0000 0.0000  6 Tl 2.96
Tl 0.0000 0.0000 0.5000  2 La 2.96
Re 0.5000 0.5000 0.5000  12 Tl 4.19

---

Last place for stability: version 2

---

Version 1
La2VRe | PBE | relaxed

calculated volume = 33.10 Å³ per atom

Cell lengths 10.5524, 10.5524, 4.7557 Å; angles 90.00, 90.00, 90.00 degrees
With the nearest neighbours (Å) after each atom.
Space group I-42d (No. 122)
Symmetry-distinct sites (fractional):
La 0.0922 0.2500 0.1250  2 Re 2.87
V 0.0000 0.0000 0.5000  2 Re 2.38
Re 0.0000 0.0000 0.0000  2 V 2.38

---

Version 2
La2VRe | PBE | relaxed

calculated volume = 23.95 Å³ per atom

Cell lengths 7.2638, 7.2638, 7.2638 Å; angles 90.00, 90.00, 90.00 degrees
With the nearest neighbours (Å) after each atom.
Space group Fm-3m (No. 225)
Symmetry-distinct sites (fractional):
La 0.2500 0.2500 0.2500  4 Re 3.15, 4 V 3.15
V 0.0000 0.0000 0.0000  8 La 3.15
Re 0.0000 0.0000 0.5000  8 La 3.15

---

Last place for stability: version 1

---

Version 1
LaVRe3 | PBE | relaxed

calculated volume = 21.62 Å³ per atom

Cell lengths 4.7640, 4.7640, 4.7640 Å; angles 90.00, 90.00, 90.00 degrees
With the nearest neighbours (Å) after each atom.
Space group Pm-3m (No. 221)
Symmetry-distinct sites (fractional):
La 0.0000 0.0000 0.0000  6 Re 2.38
V 0.5000 0.5000 0.5000  12 Re 3.37
Re 0.0000 0.0000 0.5000  2 La 2.38

---

Version 2
LaVRe3 | PBE | relaxed

calculated volume = 20.13 Å³ per atom

Cell lengths 4.6513, 4.6513, 4.6513 Å; angles 90.00, 90.00, 90.00 degrees
With the nearest neighbours (Å) after each atom.
Space group Pm-3m (No. 221)
Symmetry-distinct sites (fractional):
La 0.0000 0.0000 0.0000  12 Re 3.29
V 0.5000 0.5000 0.5000  6 Re 2.33
Re 0.0000 0.5000 0.5000  2 V 2.33

---

Last place for stability: version 1

---

Version 1
LaRe2W2 | PBE | relaxed

calculated volume = 20.85 Å³ per atom

Cell lengths 4.4078, 4.4078, 10.7308 Å; angles 90.00, 90.00, 90.00 degrees
With the nearest neighbours (Å) after each atom.
Space group I4/mmm (No. 139)
Symmetry-distinct sites (fractional):
La 0.0000 0.0000 0.0000  8 W 3.40, 8 Re 3.47
Re 0.0000 0.5000 0.2500  4 W 2.57
W 0.0000 0.0000 0.3725  4 Re 2.57, 1 W 2.74

---

Version 2
LaRe2W2 | PBE | relaxed

calculated volume = 20.74 Å³ per atom

Cell lengths 4.3762, 4.3762, 10.8300 Å; angles 90.00, 90.00, 90.00 degrees
With the nearest neighbours (Å) after each atom.
Space group I4/mmm (No. 139)
Symmetry-distinct sites (fractional):
La 0.0000 0.0000 0.0000  8 Re 3.37, 8 W 3.48
Re 0.0000 0.0000 0.3768  4 W 2.58, 1 Re 2.67
W 0.0000 0.5000 0.2500  4 Re 2.58

---

Last place for stability: version 1

---

Version 1
LaZnReW2 | PBE | relaxed

calculated volume = 23.17 Å³ per atom

Cell lengths 4.8412, 4.8412, 4.9432 Å; angles 90.00, 90.00, 90.00 degrees
With the nearest neighbours (Å) after each atom.
Space group P4/mmm (No. 123)
Symmetry-distinct sites (fractional):
La 0.0000 0.0000 0.0000  4 Zn 3.42, 8 W 3.46
Zn 0.5000 0.5000 0.0000  2 Re 2.47
Re 0.5000 0.5000 0.5000  4 W 2.42, 2 Zn 2.47
W 0.0000 0.5000 0.5000  2 Re 2.42

---

Version 2
LaZnReW2 | PBE | relaxed

calculated volume = 25.75 Å³ per atom

Cell lengths 4.8014, 4.8014, 5.5843 Å; angles 90.00, 90.00, 90.00 degrees
With the nearest neighbours (Å) after each atom.
Space group P4/mmm (No. 123)
Symmetry-distinct sites (fractional):
La 0.0000 0.0000 0.0000  2 Re 2.79
Zn 0.5000 0.5000 0.0000  4 La 3.40, 8 W 3.68
Re 0.0000 0.0000 0.5000  4 W 2.40
W 0.0000 0.5000 0.5000  2 Re 2.40

---

Last place for stability: version 2

---

Version 1
La2YRe | PBE | relaxed

calculated volume = 28.31 Å³ per atom

Cell lengths 3.6708, 5.4712, 11.2748 Å; angles 90.00, 90.00, 90.00 degrees
With the nearest neighbours (Å) after each atom.
Space group Immm (No. 71)
Symmetry-distinct sites (fractional):
La 0.0000 0.0000 0.1962  2 Re 2.87
Y 0.0000 0.5000 0.0000  4 Re 3.29, 4 La 3.52, 2 Y 3.67
Re 0.0000 0.5000 0.5000  4 La 2.87

---

Version 2
La2YRe | PBE | relaxed

calculated volume = 26.38 Å³ per atom

Cell lengths 4.6974, 4.6974, 4.7825 Å; angles 90.00, 90.00, 90.00 degrees
With the nearest neighbours (Å) after each atom.
Space group P4/mmm (No. 123)
Symmetry-distinct sites (fractional):
La 0.0000 0.5000 0.0000  4 La 3.32, 4 Re 3.35, 4 Y 3.35
Y 0.0000 0.0000 0.5000  4 Re 3.32, 8 La 3.35
Re 0.5000 0.5000 0.5000  4 Y 3.32, 8 La 3.35

---

Version 3
La2YRe | PBE | relaxed

calculated volume = 29.25 Å³ per atom

Cell lengths 3.4758, 3.4758, 33.5489 Å; angles 90.00, 90.00, 120.00 degrees
With the nearest neighbours (Å) after each atom.
Space group R-3m (No. 166, hexagonal axes)
Symmetry-distinct sites (fractional):
La 0.0000 0.0000 0.1016  3 Re 2.96
Y 0.0000 0.0000 0.0000  2 La 3.41, 6 Y 3.48
Re 0.0000 0.0000 0.5000  6 La 2.96

---

Version 4
La2YRe | PBE | relaxed

calculated volume = 27.95 Å³ per atom

Cell lengths 3.7681, 4.5628, 6.6681 Å; angles 90.00, 102.81, 90.00 degrees
With the nearest neighbours (Å) after each atom.
Space group P2/m (No. 10)
Symmetry-distinct sites (fractional):
La 0.1112 0.0000 0.2887  2 Re 2.90, 1 La 3.11
Y 0.5000 0.5000 0.0000  2 Re 3.33, 8 La 3.50-3.51
Re 0.5000 0.5000 0.5000  4 La 2.90

---

Last place for stability: version 3

---

Version 1
La2YRe | PBE | relaxed

calculated volume = 29.08 Å³ per atom

Cell lengths 3.5604, 3.5604, 9.1753 Å; angles 90.00, 90.00, 90.00 degrees
With the nearest neighbours (Å) after each atom.
Space group P4/mmm (No. 123)
Symmetry-distinct sites (fractional):
La 0.0000 0.0000 0.1918  4 Re 3.07
Y 0.5000 0.5000 0.5000  4 Y 3.56, 8 La 3.79
Re 0.5000 0.5000 0.0000  8 La 3.07

---

Version 2
La2YRe | PBE | relaxed

calculated volume = 25.84 Å³ per atom

Cell lengths 6.4233, 10.9024, 3.3290 Å; angles 90.00, 117.54, 90.00 degrees
With the nearest neighbours (Å) after each atom.
Space group C2/m (No. 12)
Symmetry-distinct sites (fractional):
La 0.2500 0.2500 0.0000  2 Re 3.21, 2 Y 3.21, 6 La 3.21-3.39
Y 0.0000 0.0000 0.5000  4 La 3.21, 4 Re 3.21-3.39, 2 Y 3.33
Re 0.0000 0.5000 0.5000  4 La 3.21, 4 Y 3.21-3.39, 2 Re 3.33

---

Last place for stability: version 2

---

Version 1
La2YRe | PBE | relaxed

calculated volume = 31.25 Å³ per atom

Cell lengths 9.0281, 9.0281, 6.1354 Å; angles 90.00, 90.00, 90.00 degrees
With the nearest neighbours (Å) after each atom.
Space group I-42d (No. 122)
Symmetry-distinct sites (fractional):
La 0.1605 0.2500 0.1250  2 Re 2.79
Y 0.0000 0.0000 0.5000  2 Re 3.07
Re 0.0000 0.0000 0.0000  4 La 2.79, 2 Y 3.07

---

Version 2
La2YRe | PBE | relaxed

calculated volume = 26.49 Å³ per atom

Cell lengths 7.5121, 7.5121, 7.5121 Å; angles 90.00, 90.00, 90.00 degrees
With the nearest neighbours (Å) after each atom.
Space group Fm-3m (No. 225)
Symmetry-distinct sites (fractional):
La 0.2500 0.2500 0.2500  4 Re 3.25, 4 Y 3.25
Y 0.0000 0.0000 0.0000  8 La 3.25
Re 0.0000 0.0000 0.5000  8 La 3.25

---

Version 3
La2YRe | PBE | relaxed

calculated volume = 31.93 Å³ per atom

Cell lengths 3.6258, 4.6821, 15.0449 Å; angles 90.00, 90.00, 90.00 degrees
With the nearest neighbours (Å) after each atom.
Space group Amm2 (No. 38)
Symmetry-distinct sites (fractional):
La 0.0000 0.0000 0.0000  1 Re 2.62
La 0.5000 0.0000 0.3286  2 Re 2.95
Y 0.5000 0.0000 0.6507  4 Re 2.98
Re 0.0000 0.0000 0.1741  1 La 2.62

---

Version 4
La2YRe | PBE | relaxed

calculated volume = 25.66 Å³ per atom

Cell lengths 7.4320, 7.4320, 7.4320 Å; angles 90.00, 90.00, 90.00 degrees
With the nearest neighbours (Å) after each atom.
Space group F-43m (No. 216)
Symmetry-distinct sites (fractional):
La 0.0000 0.0000 0.0000  4 La 3.22, 4 Y 3.22
La 0.2500 0.2500 0.2500  4 La 3.22, 4 Re 3.22
Y 0.2500 0.2500 0.7500  4 La 3.22, 4 Re 3.22
Re 0.0000 0.0000 0.5000  4 Y 3.22, 4 La 3.22

---

Last place for stability: version 2

---

Version 1
La2YRe | PBE | relaxed

calculated volume = 29.26 Å³ per atom

Cell lengths 12.6095, 3.7017, 5.5522 Å; angles 90.00, 115.42, 90.00 degrees
With the nearest neighbours (Å) after each atom.
Space group Cm (No. 8)
Symmetry-distinct sites (fractional):
La 0.0000 0.0000 0.0000  2 Re 3.14, 1 La 3.52
La 0.1945 0.0000 0.6973  2 Re 2.87
Y 0.3084 0.5000 0.3108  2 Re 2.90
Re 0.0032 0.5000 0.4604  4 La 2.87-3.14, 2 Y 2.90

---

Version 2
La2YRe | PBE | relaxed

calculated volume = 29.17 Å³ per atom

Cell lengths 3.5066, 3.5066, 9.4875 Å; angles 90.00, 90.00, 90.00 degrees
With the nearest neighbours (Å) after each atom.
Space group P4mm (No. 99)
Symmetry-distinct sites (fractional):
La 0.0000 0.0000 0.0000  4 Re 3.03
La 0.5000 0.5000 0.3234  4 La 3.51, 4 Y 3.89
Y 0.0000 0.0000 0.6396  4 Re 3.00
Re 0.5000 0.5000 0.8173  4 Y 3.00, 4 La 3.03

---

Last place for stability: version 1

---

Version 1
LaY3Re | PBE | relaxed

calculated volume = 33.16 Å³ per atom

Cell lengths 5.4936, 5.4936, 5.4936 Å; angles 90.00, 90.00, 90.00 degrees
With the nearest neighbours (Å) after each atom.
Space group Pm-3m (No. 221)
Symmetry-distinct sites (fractional):
La 0.0000 0.0000 0.0000  12 Y 3.88
Y 0.0000 0.5000 0.5000  2 Re 2.75
Re 0.5000 0.5000 0.5000  6 Y 2.75

---

Version 2
LaY3Re | PBE | relaxed

calculated volume = 30.58 Å³ per atom

Cell lengths 5.3472, 5.3472, 5.3472 Å; angles 90.00, 90.00, 90.00 degrees
With the nearest neighbours (Å) after each atom.
Space group Pm-3m (No. 221)
Symmetry-distinct sites (fractional):
La 0.0000 0.0000 0.0000  6 Y 2.67
Y 0.0000 0.0000 0.5000  2 La 2.67
Re 0.5000 0.5000 0.5000  12 Y 3.78

---

Last place for stability: version 2